# SiAgCl2, optimized geometry, DFT PBE
# formation energy without anion corrections	181	meV per atom
# Fermi-level density of states	1.4	states/eV/f.u.
# excess energy over the best structure of this formula in the dataset	475	meV/atom
# energy	-11.2	eV/cell
data_SiAgCl2
_cell_length_a 4.8449
_cell_length_b 4.8449
_cell_length_c 4.8449
_cell_angle_alpha 60.00
_cell_angle_beta 60.00
_cell_angle_gamma 60.00
_symmetry_space_group_name_H-M 'P 1'
_symmetry_Int_Tables_number 1
loop_
_symmetry_equiv_pos_as_xyz
'x,y,z'
loop_
_atom_site_label
_atom_site_type_symbol
_atom_site_fract_x
_atom_site_fract_y
_atom_site_fract_z
Ag1 Ag 0.5000 0.5000 0.5000
Si1 Si 0.0000 0.0000 0.0000
Cl1 Cl 0.7500 0.7500 0.7500
Cl2 Cl 0.2500 0.2500 0.2500



# SiAgCl2, optimized geometry, DFT PBE
# formation energy without anion corrections	-19	meV per atom
# Fermi-level density of states	0.7	states/eV/f.u.
# excess energy over the best structure of this formula in the dataset	275	meV/atom
# energy	-12.0	eV/cell
data_SiAgCl2
_cell_length_a 8.1559
_cell_length_b 6.2097
_cell_length_c 3.2421
_cell_angle_alpha 58.88
_cell_angle_beta 112.92
_cell_angle_gamma 139.32
_symmetry_space_group_name_H-M 'P 1'
_symmetry_Int_Tables_number 1
loop_
_symmetry_equiv_pos_as_xyz
'x,y,z'
loop_
_atom_site_label
_atom_site_type_symbol
_atom_site_fract_x
_atom_site_fract_y
_atom_site_fract_z
Ag1 Ag 0.5000 0.5000 0.0000
Cl1 Cl 0.0000 0.0000 0.0000
Si1 Si 0.0000 0.5000 0.5000
Cl2 Cl 0.5000 0.0000 0.5000



# SiAgCl2, optimized geometry, DFT PBE
# formation energy without anion corrections	117	meV per atom
# Fermi-level density of states	1.3	states/eV/f.u.
# excess energy over the best structure of this formula in the dataset	411	meV/atom
# energy	-23.0	eV/cell
data_SiAgCl2
_cell_length_a 4.9233
_cell_length_b 4.9233
_cell_length_c 8.8053
_cell_angle_alpha 73.77
_cell_angle_beta 73.77
_cell_angle_gamma 90.00
_symmetry_space_group_name_H-M 'P 1'
_symmetry_Int_Tables_number 1
loop_
_symmetry_equiv_pos_as_xyz
'x,y,z'
loop_
_atom_site_label
_atom_site_type_symbol
_atom_site_fract_x
_atom_site_fract_y
_atom_site_fract_z
Cl1 Cl 0.3750 0.3852 0.7500
Si1 Si 0.2500 0.7500 0.5000
Cl2 Cl 0.1352 0.6250 0.2500
Si2 Si 0.5000 0.5000 0.0000
Cl3 Cl 0.8750 0.8648 0.7500
Ag1 Ag 0.0000 0.0000 0.0000
Cl4 Cl 0.6148 0.1250 0.2500
Ag2 Ag 0.7500 0.2500 0.5000



# SiAgCl2, optimized geometry, DFT PBE
# formation energy without anion corrections	45	meV per atom
# Fermi-level density of states	1.3	states/eV/f.u.
# excess energy over the best structure of this formula in the dataset	339	meV/atom
# energy	-11.8	eV/cell
data_SiAgCl2
_cell_length_a 3.4268
_cell_length_b 3.4268
_cell_length_c 8.2409
_cell_angle_alpha 90.00
_cell_angle_beta 90.00
_cell_angle_gamma 118.91
_symmetry_space_group_name_H-M 'P 1'
_symmetry_Int_Tables_number 1
loop_
_symmetry_equiv_pos_as_xyz
'x,y,z'
loop_
_atom_site_label
_atom_site_type_symbol
_atom_site_fract_x
_atom_site_fract_y
_atom_site_fract_z
Si1 Si 0.5000 0.5000 0.2500
Ag1 Ag 0.5000 0.5000 0.7500
Cl1 Cl 0.0000 0.0000 0.5076
Cl2 Cl 0.0000 0.0000 0.9924